Below is an optimized crystal structure of Li3V2P3O12, with properties calculated at the PBE+U level.

```
data_Li3V2P3O12
_chemical_formula_sum 'Li12 V8 P12 O48'
_cell_length_a 14.962
_cell_length_b 8.767
_cell_length_c 8.625
_cell_angle_alpha 90.00
_cell_angle_beta 123.22
_cell_angle_gamma 90.00
_space_group_name_H-M_alt 'C 1 2/c 1'
_space_group_IT_number 15
_space_group_name_Hall '-C 2yc'
loop_
_atom_site_label
_atom_site_fract_x
_atom_site_fract_y
_atom_site_fract_z
Li1 0.000 0.139 0.250
Li2 0.186 0.377 0.303
V1 0.108 0.247 0.640
P1 0.000 0.455 0.250
P2 0.139 0.115 0.046
O1 0.041 0.161 0.052
O2 0.063 0.452 0.688
O3 0.088 0.347 0.403
O4 0.118 0.149 0.855
O5 0.164 0.059 0.578
O6 0.234 0.204 0.208
```

Total DFT energy (no corrections) in eV for the cell shown: -568.19
E above lowest polymorph in meV per atom: 11